## Rb2AlRhBr6 (PBE)

Data for a relaxed Rb2AlRhBr6 crystal.

Summary:
For the electronic total energy, the calculation gives -3.295 eV/atom. The space group is Fm-3m, No. 225.

Geometry as POSCAR:
```
Rb2AlRhBr6
1.0
-1.193 5.060 5.330
4.863 -3.506 4.417
5.735 3.742 2.932
Rh Br Rb Al
1 6 2 1
direct
0.000 0.000 0.000
0.251 0.251 0.499
0.749 0.749 0.501
0.251 0.251 0.000
0.749 0.749 0.000
0.749 0.251 0.000
0.251 0.749 0.000
0.750 0.250 0.500
0.250 0.750 0.500
0.500 0.500 0.000
```